(1)
# SrCaDyCd (GGA-PBE, optimized geometry)
# - M_tot (Bohr magnetons per cell) = 0.0
# - energy of formation (eV per formula unit) = 0.2
# - raw total energy (eV per atom) = -2.2620
data_SrCaDyCd
_cell_length_a 8.1430
_cell_length_b 8.1430
_cell_length_c 8.1430
_cell_angle_alpha 90.00
_cell_angle_beta 90.00
_cell_angle_gamma 90.00
_symmetry_space_group_name_H-M 'F -4 3 m'
_symmetry_Int_Tables_number 216
_symmetry_space_group_name_Hall 'F -4 2 3'
loop_
_atom_site_label
_atom_site_type_symbol
_atom_site_fract_x
_atom_site_fract_y
_atom_site_fract_z
Sr1 Sr 0.0000 0.0000 0.0000
Ca1 Ca 0.2500 0.2500 0.7500
Dy1 Dy 0.0000 0.0000 0.5000
Cd1 Cd 0.2500 0.2500 0.2500

(2)
# SiRuWI2 (GGA-PBE, optimized geometry)
# - M_tot (Bohr magnetons per cell) = 0.6
# - raw total energy (eV per atom) = -4.5533
# - formation energy from raw total energies (meV/atom) = 1597
data_SiRuWI2
_cell_length_a 5.3545
_cell_length_b 5.3545
_cell_length_c 4.7955
_cell_angle_alpha 90.00
_cell_angle_beta 90.00
_cell_angle_gamma 90.00
_symmetry_space_group_name_H-M 'P 4/m m m'
_symmetry_Int_Tables_number 123
_symmetry_space_group_name_Hall '-P 4 2'
loop_
_atom_site_label
_atom_site_type_symbol
_atom_site_fract_x
_atom_site_fract_y
_atom_site_fract_z
Si1 Si 0.0000 0.0000 0.0000
Ru1 Ru 0.5000 0.5000 0.0000
W1 W 0.5000 0.5000 0.5000
I1 I 0.0000 0.5000 0.5000

(3)
# LaNdRh (GGA-PBE, optimized geometry)
# - M_tot (Bohr magnetons per cell) = 0.0
# - energy of formation (eV per formula unit) = -1.3
# - raw total energy (eV per atom) = -6.1149
data_LaNdRh
_cell_length_a 3.5992
_cell_length_b 3.5992
_cell_length_c 13.3515
_cell_angle_alpha 90.00
_cell_angle_beta 90.00
_cell_angle_gamma 90.00
_symmetry_space_group_name_H-M 'I 4 m m'
_symmetry_Int_Tables_number 107
_symmetry_space_group_name_Hall 'I 4 -2'
loop_
_atom_site_label
_atom_site_type_symbol
_atom_site_fract_x
_atom_site_fract_y
_atom_site_fract_z
La1 La 0.0000 0.0000 0.0000
Nd1 Nd 0.0000 0.0000 0.7491
Rh1 Rh 0.0000 0.0000 0.3737

(4)
# Cs2TbSmO4 (GGA-PBE, optimized geometry)
# - M_tot (Bohr magnetons per cell) = 0.0
# - raw total energy (eV per atom) = -6.3001
# - formation energy from raw total energies (meV/atom) = -2439
data_Cs2TbSmO4
_cell_length_a 7.5197
_cell_length_b 7.6103
_cell_length_c 10.6965
_cell_angle_alpha 90.00
_cell_angle_beta 90.00
_cell_angle_gamma 90.00
_symmetry_space_group_name_H-M 'I m m a'
_symmetry_Int_Tables_number 74
_symmetry_space_group_name_Hall '-I 2b 2'
loop_
_atom_site_label
_atom_site_type_symbol
_atom_site_fract_x
_atom_site_fract_y
_atom_site_fract_z
Cs1 Cs 0.0000 0.0000 0.0000
Cs2 Cs 0.2500 0.2500 0.2500
Tb1 Tb 0.2500 0.2500 0.7500
Sm1 Sm 0.0000 0.0000 0.5000
O1 O 0.0000 0.0545 0.7260
O2 O 0.2001 0.2500 0.5283